Record 1
Here is a relaxed structure of Tb3DyTe6 from Alexandria via LeMat-Bulk. Energies are from PBE.

Computed properties:
symmetry: P2_1/m
formation energy from raw total energies: -1327.6 kJ/mol of formula units
total DFT energy (no corrections): -5.11 eV per atom

a b c (Å): 12.494 4.356 12.831
angles (deg): 90.00 109.37 90.00
Positions (direct):
Tb: 0.070 0.250 0.167
Tb: 0.184 0.750 0.503
Tb: 0.345 0.250 0.921
Tb: 0.655 0.750 0.079
Tb: 0.816 0.250 0.497
Tb: 0.930 0.750 0.833
Dy: 0.456 0.250 0.307
Dy: 0.544 0.750 0.693
Te: 0.016 0.250 0.381
Te: 0.106 0.250 0.937
Te: 0.250 0.750 0.281
Te: 0.310 0.750 0.750
Te: 0.390 0.250 0.533
Te: 0.416 0.750 0.102
Te: 0.584 0.250 0.898
Te: 0.610 0.750 0.467
Te: 0.690 0.250 0.250
Te: 0.750 0.250 0.719
Te: 0.894 0.750 0.063
Te: 0.984 0.750 0.619

Record 2
Here is a relaxed structure of TbDyTe2 from Alexandria via LeMat-Bulk. Energies are from PBE.

Computed properties:
symmetry: P4/mmm
formation energy from raw total energies: -454.5 kJ/mol of formula units
total DFT energy (no corrections): -5.06 eV per atom

a b c (Å): 5.355 5.355 3.783
angles (deg): 90.00 90.00 90.00
Positions (direct):
Tb: 0.000 0.000 0.000
Dy: 0.500 0.500 0.000
Te: 0.000 0.500 0.500
Te: 0.500 0.000 0.500